# 1
Sm12H5Pb3 after structural relaxation, computed with PBE.

```
Sm12H5Pb3
1.0
13.9025 0.0000 0.0000
-4.6342 13.1074 0.0000
-4.6342 -6.5537 11.3514
Sm H Pb
48 20 12
Cartesian
-2.3465 -5.2158 11.2127 Sm
-5.9142 3.3533 7.9991 Sm
4.1354 -1.8554 3.4909 Sm
-4.1354 5.8797 5.8143 Sm
5.4448 1.8939 10.2620 Sm
-1.5064 -0.0036 9.1666 Sm
4.6048 2.4878 6.7650 Sm
-4.6635 9.2817 4.4477 Sm
0.0294 4.0659 4.5864 Sm
3.1277 8.4476 1.0893 Sm
1.0370 1.2264 6.7712 Sm
6.9806 3.8257 4.4477 Sm
0.4988 8.4091 7.8605 Sm
-1.2800 7.7802 4.5802 Sm
-5.4448 0.0036 9.1666 Sm
5.6712 9.9070 3.3522 Sm
6.1406 6.5573 2.1848 Sm
3.1277 4.6634 1.0955 Sm
2.3464 -2.4878 6.7650 Sm
2.8159 1.8554 3.4909 Sm
-3.3541 11.1335 1.2280 Sm
7.9883 -4.5798 10.1234 Sm
9.2390 1.3379 0.1386 Sm
-4.6048 5.2158 11.2127 Sm
10.5484 3.2004 3.3522 Sm
-1.0370 4.5798 10.1234 Sm
2.2877 9.0416 4.5864 Sm
1.8183 4.6983 7.8605 Sm
1.5065 1.8903 10.2559 Sm
5.6712 1.9739 1.2280 Sm
7.4501 -1.1813 2.3234 Sm
-0.8106 8.4440 1.0955 Sm
5.1329 5.3724 9.0279 Sm
9.2977 -2.7280 6.9036 Sm
5.4448 -1.8903 10.2559 Sm
1.5065 -1.8939 10.2620 Sm
6.9806 11.7695 0.1386 Sm
6.4525 7.2277 5.8143 Sm
-0.4988 1.1813 2.3234 Sm
3.5971 5.3273 4.5802 Sm
-1.0370 -3.3533 7.9991 Sm
8.7696 0.6740 5.5370 Sm
-2.3465 2.7280 6.9036 Sm
10.0790 6.5501 2.1848 Sm
-0.8106 4.6598 1.0893 Sm
-2.8159 7.7351 9.0279 Sm
5.9142 -1.2265 6.7712 Sm
-1.8183 -0.6740 5.5370 Sm
3.4756 2.4576 1.4189 H
0.0000 0.0000 0.0000 H
1.1585 4.0961 9.9324 H
-1.1585 3.2769 2.8378 H
3.4756 9.8306 2.8378 H
6.9513 0.0000 0.0000 H
5.7927 5.7345 4.2568 H
-4.6342 3.2769 5.6757 H
-3.4756 7.3729 4.2568 H
-1.1585 10.6498 1.4189 H
8.1098 -0.8192 7.0946 H
-2.3171 6.5537 0.0000 H
5.7927 3.2769 8.5135 H
-1.1585 0.8192 7.0946 H
4.6342 -3.2769 5.6757 H
4.6342 6.5537 0.0000 H
1.1585 -3.2769 8.5135 H
-2.3171 -3.2769 5.6757 H
2.3171 3.2769 5.6757 H
5.7927 -4.0961 9.9324 H
5.7927 0.8192 4.2568 Pb
-5.7927 6.5537 8.5135 Pb
1.1585 -0.8192 4.2568 Pb
8.1098 9.0114 1.4189 Pb
8.1098 4.0961 1.4189 Pb
-1.1585 5.7345 7.0946 Pb
3.4756 7.3729 7.0946 Pb
-3.4756 -2.4576 9.9324 Pb
-3.4756 2.4576 9.9324 Pb
1.1585 6.5537 2.8378 Pb
10.4269 0.0000 2.8378 Pb
3.4756 0.0000 8.5135 Pb
```

DOS(E_F) = 14.3 states/eV/f.u.
DFT total energy = -4.4945 eV/atom
SG = Ia-3d

# 2
Sm3H2Pb2 after structural relaxation, computed with PBE.

```
Sm3H2Pb2
1.0
-1.6669 2.8794 6.1245
-8.0507 -0.6313 -1.8944
-0.9312 -3.8330 5.2346
H Pb Sm
4 4 6
Cartesian
-1.6864 -2.3350 3.6217 H
-6.0203 -0.5243 3.2769 H
-4.6285 -1.0607 6.1878 H
-8.9623 0.7500 5.8430 H
-2.6121 -0.7133 1.3417 Pb
-8.0367 -0.8717 8.1230 Pb
-3.0389 0.7583 4.4996 Pb
-7.6099 -2.3433 4.9651 Pb
-8.1353 -1.0527 1.9058 Sm
0.0000 0.0000 0.0000 Sm
-4.8588 1.1240 2.1150 Sm
-4.2422 -2.1729 3.8937 Sm
-2.5135 -0.5323 7.5588 Sm
-6.4065 0.5879 5.5710 Sm
```

DOS(E_F) = 2.2 states/eV/f.u.
DFT total energy = -4.5016 eV/atom
SG = P2_1/c

# 3
Sm4H2Pb3 after structural relaxation, computed with PBE.

```
Sm4H2Pb3
1.0
6.7021 0.4892 0.3502
1.0371 8.4342 -0.0040
1.0371 2.7138 7.9857
Pb Sm H
6 8 4
Cartesian
3.1290 2.1028 0.1788 Pb
2.2963 10.5458 6.2238 Pb
5.6473 9.5344 8.1531 Pb
2.7126 5.7598 3.9897 Pb
6.4800 1.0914 2.1081 Pb
6.0637 5.8774 4.3422 Pb
1.0304 5.9169 0.9262 Sm
4.6094 4.1280 2.0471 Sm
4.3814 3.0279 5.4781 Sm
1.2583 3.0234 3.0731 Sm
7.7459 5.7203 7.4057 Sm
4.1669 7.5092 6.2848 Sm
7.5180 8.6138 5.2588 Sm
4.3949 8.6093 2.8539 Sm
1.9394 7.3557 6.8808 H
6.8369 4.2815 1.4511 H
3.4858 2.5087 3.4104 H
5.2904 9.1285 4.9215 H
```

DOS(E_F) = 5.5 states/eV/f.u.
DFT total energy = -4.6049 eV/atom
SG = C2/c

# 4
SnHPb3 after structural relaxation, computed with PBE.

```
SnHPb3
1.0
-4.3370 3.7207 -1.5248
-4.0149 -3.8828 1.9449
0.2225 2.4613 5.3731
Pb Sn H
3 1 1
Cartesian
-2.0074 -1.9414 0.9725 Pb
0.1113 1.2307 2.6866 Pb
-2.1685 1.8604 -0.7624 Pb
0.0000 0.0000 0.0000 Sn
-4.0647 1.1496 2.8966 H
```

DOS(E_F) = 2.6 states/eV/f.u.
DFT total energy = -2.7409 eV/atom
SG = Pm-3m

# 5
Sn3HPb after structural relaxation, computed with PBE.

```
Sn3HPb
1.0
-1.8693 4.2687 1.5660
-4.3470 -1.1812 -1.9690
-1.3334 -2.1333 4.2236
H Sn Pb
1 3 1
Cartesian
0.0000 0.0000 0.0000 H
-0.9346 2.1343 0.7830 Sn
-2.1735 -0.5906 -0.9845 Sn
-0.6667 -1.0667 2.1118 Sn
-3.7748 0.4771 1.9103 Pb
```

DOS(E_F) = 1.8 states/eV/f.u.
DFT total energy = -3.5969 eV/atom
SG = Pm-3m

# 6
Sn3HPb after structural relaxation, computed with PBE.

```
Sn3HPb
1.0
5.9039 0.0000 0.0000
0.0000 5.9039 0.0000
0.0000 0.0000 5.9039
Pb Sn H
1 3 1
Cartesian
0.0000 0.0000 0.0000 Pb
0.0000 2.9520 0.0000 Sn
0.0000 0.0000 2.9520 Sn
2.9520 0.0000 0.0000 Sn
2.9520 2.9520 2.9520 H
```

DOS(E_F) = 2.8 states/eV/f.u.
DFT total energy = -2.6476 eV/atom
SG = Pm-3m

# 7
SnHPb3 after structural relaxation, computed with PBE.

```
SnHPb3
1.0
5.0160 0.0000 0.0000
0.0000 5.0160 0.0000
0.0000 0.0000 5.0160
Pb Sn H
3 1 1
Cartesian
0.0000 2.5080 0.0000 Pb
2.5080 0.0000 0.0000 Pb
0.0000 0.0000 2.5080 Pb
2.5080 2.5080 2.5080 Sn
0.0000 0.0000 0.0000 H
```

DOS(E_F) = 2.1 states/eV/f.u.
DFT total energy = -3.4935 eV/atom
SG = Pm-3m

# 8
SnH2Pb4 after structural relaxation, computed with PBE.

```
SnH2Pb4
1.0
3.4472 -0.0001 -0.0003
0.0000 5.2003 -1.0537
-0.0013 -0.9653 9.2413
Pb H Sn
4 2 1
Cartesian
1.7231 0.3025 1.6999 Pb
-0.0002 3.2055 2.8023 Pb
1.7227 3.9324 6.4874 Pb
3.4461 1.0294 5.3850 Pb
1.7233 3.5275 4.2931 H
1.7226 0.7074 3.8941 H
0.0000 2.6001 -0.5269 Sn
```

DOS(E_F) = 2.5 states/eV/f.u.
DFT total energy = -3.3640 eV/atom
SG = P2/m

# 9
Sn4H2Pb after structural relaxation, computed with PBE.

```
Sn4H2Pb
1.0
3.7128 0.0000 0.0000
0.0000 4.8354 -0.9437
0.0000 -0.7984 8.7687
Pb Sn H
1 4 2
Cartesian
0.0000 2.4177 -0.4718 Pb
1.8564 3.7274 6.2389 Sn
0.0000 0.9940 5.0932 Sn
1.8564 0.3096 1.5862 Sn
0.0000 3.0429 2.7319 Sn
1.8564 3.1757 3.4121 H
1.8564 0.8613 4.4130 H
```

DOS(E_F) = 2.6 states/eV/f.u.
DFT total energy = -3.5072 eV/atom
SG = Cmmm

# 10
Sr2SnHPb after structural relaxation, computed with PBE.

```
Sr2SnHPb
1.0
-1.6205 3.3287 -3.5246
-4.8153 -1.5358 0.7635
-0.5640 3.5759 3.6364
Sr Pb Sn H
2 1 1 1
Cartesian
-0.8102 1.6643 -1.7623 Sr
-2.4077 -0.7679 0.3817 Sr
-0.2820 1.7880 1.8182 Pb
-3.4999 2.6844 0.4376 Sn
0.0000 0.0000 0.0000 H
```

DOS(E_F) = 1.5 states/eV/f.u.
DFT total energy = -3.2650 eV/atom
SG = P4/mmm

# 11
Ti7Sn2H2Pb after structural relaxation, computed with PBE.

```
Ti7Sn2H2Pb
1.0
-2.8130 -2.1871 1.8167
2.1101 0.1076 3.3960
-6.0467 8.9751 5.8089
Ti Sn H Pb
7 2 2 1
Cartesian
-2.8398 -0.2326 4.1285 Ti
-2.6305 2.9600 3.8993 Ti
-0.3797 0.9141 4.9176 Ti
-0.3514 -1.0397 2.6064 Ti
-6.3699 5.9816 6.1040 Ti
-3.9098 7.1282 6.8931 Ti
-4.1191 3.9357 7.1223 Ti
-2.7835 1.5726 6.3924 Sn
-3.9661 5.3231 4.6293 Sn
-1.2901 0.6078 3.1386 H
-5.4595 6.2879 7.8831 H
0.0000 0.0000 0.0000 Pb
```

DOS(E_F) = 10.6 states/eV/f.u.
DFT total energy = -6.4398 eV/atom
SG = C2/m

# 12
Ti4SnHPb after structural relaxation, computed with PBE.

```
Ti4SnHPb
1.0
-4.9354 -2.3990 -1.2079
0.6381 -3.5023 4.3488
-1.0121 6.1101 5.0693
Ti Pb H Sn
8 2 2 2
Cartesian
-0.5061 3.0550 2.5347 Ti
-0.0652 -1.8594 3.9594 Ti
-2.6547 0.1044 4.1051 Ti
-5.2442 2.0681 4.2508 Ti
-2.4096 1.4489 6.9677 Ti
-2.9738 1.8555 1.9307 Ti
-0.1870 1.3039 4.7091 Ti
-2.8998 -1.2401 1.2425 Ti
-2.7245 -2.7885 3.6014 Pb
-2.5849 2.9972 4.6089 Pb
-3.8231 0.0627 2.4273 H
-1.4863 0.1460 5.7830 H
-4.7084 0.0110 6.1470 Sn
-0.6011 0.1977 2.0632 Sn
```

DOS(E_F) = 8.1 states/eV/f.u.
DFT total energy = -6.3361 eV/atom
SG = Cmcm

# 13
Tl2SnHPb after structural relaxation, computed with PBE.

```
Tl2SnHPb
1.0
5.0248 0.0000 0.0000
0.0000 5.0248 0.0000
0.0000 0.0000 4.9656
H Sn Pb Tl
1 1 1 2
Cartesian
0.0000 0.0000 0.0000 H
2.5124 2.5124 2.4828 Sn
0.0000 0.0000 2.4828 Pb
2.5124 0.0000 0.0000 Tl
0.0000 2.5124 0.0000 Tl
```

DOS(E_F) = 1.5 states/eV/f.u.
DFT total energy = -2.9667 eV/atom
SG = P4/mmm

# 14
Tl2SnHPb after structural relaxation, computed with PBE.

```
Tl2SnHPb
1.0
5.0577 0.0000 0.0000
0.0000 5.0577 0.0000
0.0000 0.0000 4.8566
H Pb Sn Tl
1 1 1 2
Cartesian
0.0000 0.0000 0.0000 H
2.5289 2.5289 2.4283 Pb
0.0000 0.0000 2.4283 Sn
2.5289 0.0000 0.0000 Tl
0.0000 2.5289 0.0000 Tl
```

DOS(E_F) = 1.9 states/eV/f.u.
DFT total energy = -2.9680 eV/atom
SG = P4/mmm

# 15
V2SnHPb after structural relaxation, computed with PBE.

```
V2SnHPb
1.0
5.2773 0.0000 0.0000
0.0000 3.6512 0.0000
0.0000 0.0000 5.2773
V H Sn Pb
2 1 1 1
Cartesian
2.6387 0.0000 0.0000 V
0.0000 0.0000 2.6387 V
0.0000 1.8256 0.0000 H
2.6387 1.8256 2.6387 Sn
0.0000 0.0000 0.0000 Pb
```

DOS(E_F) = 5.0 states/eV/f.u.
DFT total energy = -4.8222 eV/atom
SG = P4/mmm

# 16
Sr6HPb3 after structural relaxation, computed with PBE.

```
Sr6HPb3
1.0
-3.7914 5.3727 3.1639
0.2279 -4.6062 8.0950
8.9997 5.6643 2.9697
Pb Sr H
6 12 2
Cartesian
2.1606 -1.0534 5.9116 Pb
0.6090 3.2286 3.0306 Pb
-1.7817 0.3832 5.6294 Pb
3.2756 7.4841 8.3170 Pb
4.4998 2.8322 1.4848 Pb
4.8273 3.2021 11.1980 Pb
2.7298 5.6896 5.1654 Sr
-0.5791 -1.6288 7.9930 Sr
1.9884 4.6300 9.7587 Sr
3.4479 1.8007 4.4699 Sr
6.0154 8.0596 6.2356 Sr
5.2818 6.8402 11.1095 Sr
2.7064 0.7411 9.0631 Sr
5.2834 3.6145 7.7249 Sr
0.1528 2.8162 6.5037 Sr
0.1544 -0.4095 3.1191 Sr
6.4537 4.8736 3.0472 Sr
-1.0175 1.5572 11.1814 Sr
0.0000 0.0000 0.0000 H
2.7181 3.2154 7.1143 H
```

DOS(E_F) = 5.5 states/eV/f.u.
DFT total energy = -2.8453 eV/atom
SG = P2_1/c

# 17
SrH2Pb after structural relaxation, computed with PBE.

```
SrH2Pb
1.0
-4.4641 2.4916 -0.6865
-2.4636 -3.6882 2.6336
-2.5208 2.5489 6.2633
Sr Pb H
2 2 4
Cartesian
-3.4639 -0.5983 0.9735 Sr
-4.2241 -0.8688 4.9352 Sr
0.0000 0.0000 0.0000 Pb
-5.2244 2.2211 3.2751 Pb
-4.4900 1.4606 5.4293 H
-2.7308 -1.3549 3.1255 H
-3.7254 1.7319 1.4664 H
-7.9508 0.8669 6.3995 H
```

DOS(E_F) = 1.0 states/eV/f.u.
DFT total energy = -3.0265 eV/atom
SG = I-42d

# 18
SrH2Pb2 after structural relaxation, computed with PBE.

```
SrH2Pb2
1.0
-5.1040 -4.4178 -0.4865
3.6687 -4.6059 3.3363
-1.8352 1.6475 4.2925
Pb Sr H
4 2 4
Cartesian
-1.3401 -5.9581 4.5686 Pb
-1.9304 -1.4181 2.5737 Pb
0.6649 -3.0624 4.3144 Pb
-3.9354 -4.3138 2.8279 Pb
-0.7177 -4.5119 1.4249 Sr
0.0000 0.0000 0.0000 Sr
1.5595 -4.0308 2.2139 H
-2.9948 -4.9929 0.6359 H
-0.8722 -2.2449 0.4887 H
-0.5632 -6.7788 2.3611 H
```

DOS(E_F) = 1.5 states/eV/f.u.
DFT total energy = -3.2586 eV/atom
SG = P4/mbm

# 19
Sr5HPb2 after structural relaxation, computed with PBE.

```
Sr5HPb2
1.0
7.6848 0.0001 -0.0008
0.0003 7.6848 -0.0008
-3.8427 -3.8427 4.9624
Sr H Pb
5 1 2
Cartesian
3.8424 3.8424 2.5017 Sr
1.8900 5.7950 0.0465 Sr
1.8899 1.8898 0.0468 Sr
5.7951 1.8899 0.0465 Sr
5.7953 5.7951 0.0462 Sr
3.8423 3.8422 4.8907 H
3.8425 -0.0003 2.5439 Pb
-0.0001 3.8425 2.5439 Pb
```

DOS(E_F) = 3.5 states/eV/f.u.
DFT total energy = -2.6992 eV/atom
SG = I4mm